1.
Density functional theory data (PBE) for U2TeAsH2 after structural relaxation.

Computed properties:
**E_tot**: -6.796 eV per atom

a = 3.9060 Å, b = 3.9060 Å, c = 8.1076 Å
α = 90.00°, β = 90.00°, γ = 120.00°
With the nearest neighbours (Å) after each atom.
Fractional positions:
As (0.0000, 0.0000, 0.5000)  6 U 2.91, 6 H 2.99
Te (0.0000, 0.0000, 0.0000)  6 H 3.07, 6 U 3.16
U (0.6667, 0.3333, 0.2731)  3 H 2.26
U (0.3333, 0.6667, 0.7269)  3 H 2.26
H (0.6667, 0.3333, 0.7431)  3 U 2.26
H (0.3333, 0.6667, 0.2569)  3 U 2.26


2.
Density functional theory data (PBE) for ZnTeAs2H after structural relaxation.

Computed properties:
**E_tot**: -2.360 eV per atom

a = 4.8629 Å, b = 5.4147 Å, c = 4.8629 Å
α = 90.00°, β = 90.00°, γ = 90.00°
With the nearest neighbours (Å) after each atom.
Fractional positions:
Zn (0.0000, 0.0000, 0.0000)  4 As 2.43, 2 Te 2.71
As (0.0000, 0.0000, 0.5000)  2 Zn 2.43
As (0.5000, 0.0000, 0.0000)  2 Zn 2.43
H (0.5000, 0.5000, 0.5000)  4 Te 3.44, 8 As 3.64
Te (0.0000, 0.5000, 0.0000)  2 Zn 2.71


3.
Density functional theory data (PBE) for Th2AsH4 after structural relaxation.

Computed properties:
**Offset from the most stable computed form**: 0.0 meV/atom

a = 3.9608 Å, b = 3.9608 Å, c = 7.7021 Å
α = 75.10°, β = 75.10°, γ = 60.00°
With the nearest neighbours (Å) after each atom.
Fractional positions:
Th (0.2439, 0.2439, 0.2682)  7 H 2.29-2.50
Th (0.7561, 0.7561, 0.7318)  7 H 2.29-2.50
H (0.1348, 0.1348, 0.5957)  4 Th 2.41-2.50, 6 H 2.45-2.69
H (0.4277, 0.4277, 0.7169)  3 Th 2.29, 3 H 2.45
H (0.5723, 0.5723, 0.2831)  3 Th 2.29, 3 H 2.45
H (0.8652, 0.8652, 0.4043)  4 Th 2.41-2.50, 6 H 2.45-2.69
As (0.0000, 0.0000, 0.0000)  8 H 2.97-3.09, 6 Th 3.02


4.
Density functional theory data (PBE) for Th2AsH4 after structural relaxation.

Computed properties:
**Offset from the most stable computed form**: 55.6 meV/atom

a = 3.8961 Å, b = 7.2652 Å, c = 7.2652 Å
α = 90.00°, β = 90.00°, γ = 90.00°
With the nearest neighbours (Å) after each atom.
Fractional positions:
H (0.5000, 0.1653, 0.5940)  3 Th 2.41-2.42, 1 H 2.47
H (0.0000, 0.6653, 0.9060)  3 Th 2.41-2.42, 1 H 2.47
H (0.0000, 0.0940, 0.3347)  3 Th 2.41-2.42, 1 H 2.47
H (0.0000, 0.3347, 0.0940)  3 Th 2.41-2.42, 1 H 2.47
H (0.5000, 0.8347, 0.4060)  3 Th 2.41-2.42, 1 H 2.47
H (0.0000, 0.9060, 0.6653)  3 Th 2.41-2.42, 1 H 2.47
H (0.5000, 0.4060, 0.8347)  3 Th 2.41-2.42, 1 H 2.47
H (0.5000, 0.5940, 0.1653)  3 Th 2.41-2.42, 1 H 2.47
Th (0.0000, 0.2161, 0.7839)  6 H 2.41-2.42
Th (0.5000, 0.7161, 0.7161)  6 H 2.41-2.42
Th (0.0000, 0.7839, 0.2161)  6 H 2.41-2.42
Th (0.5000, 0.2839, 0.2839)  6 H 2.41-2.42
As (0.0000, 0.5000, 0.5000)  6 Th 2.92-2.95, 12 H 3.18-3.19
As (0.5000, 0.0000, 0.0000)  6 Th 2.92-2.95, 12 H 3.18-3.19


5.
Density functional theory data (PBE) for ThAsH after structural relaxation.

Computed properties:
**Offset from the most stable computed form**: 705.0 meV/atom

a = 5.0955 Å, b = 5.0955 Å, c = 7.9340 Å
α = 77.39°, β = 77.39°, γ = 53.22°
With the nearest neighbours (Å) after each atom.
Fractional positions:
Th (0.2640, 0.2640, 0.4869)  2 H 2.59-2.66, 3 As 2.88-2.89
Th (0.4894, 0.4894, 0.8206)  2 H 2.59-2.66, 3 As 2.88-2.89
H (0.3360, 0.3360, 0.1411)  1 H 0.81
H (0.4168, 0.4168, 0.1661)  1 H 0.81
As (0.5885, 0.5885, 0.4278)  4 Th 2.88-3.03, 1 H 2.89
As (0.1649, 0.1649, 0.8796)  4 Th 2.88-3.03, 1 H 2.88


6.
Density functional theory data (PBE) for Th2AsH after structural relaxation.

Computed properties:
**Offset from the most stable computed form**: 0.0 meV/atom

a = 3.8912 Å, b = 3.8912 Å, c = 7.2159 Å
α = 74.36°, β = 74.36°, γ = 60.00°
With the nearest neighbours (Å) after each atom.
Fractional positions:
H (0.0000, 0.0000, 0.0000)  6 Th 2.71
Th (0.2592, 0.2592, 0.2223)  3 H 2.71, 3 As 2.95
Th (0.7408, 0.7408, 0.7777)  3 H 2.71, 3 As 2.95
As (0.5000, 0.5000, 0.5000)  6 Th 2.95


In order of appearance, magnetization = 0.8327 0.2021 0.0000 0.0000 0.0000 0.0000 μB/atom.